(1)
Material: Ba2TlZn2Pd5
Method: DFT, PBE
State: relaxed

Output
SG: P4/mbm (127)
Formation energy from the elements (kJ/mol of atoms): -41.1
DOS at the Fermi energy (states/eV/f.u.): 4.72

abc: 10.505 10.505 3.823
angles: 90.00 90.00 90.00
Element x y z (fractional)
Ba 0.181 0.319 0.000
Ba 0.319 0.819 0.000
Ba 0.681 0.181 0.000
Ba 0.819 0.681 0.000
Tl 0.000 0.000 0.000
Tl 0.500 0.500 0.000
Zn 0.116 0.616 0.000
Zn 0.384 0.116 0.000
Zn 0.616 0.884 0.000
Zn 0.884 0.384 0.000
Pd 0.000 0.500 0.500
Pd 0.063 0.783 0.500
Pd 0.217 0.063 0.500
Pd 0.283 0.563 0.500
Pd 0.437 0.283 0.500
Pd 0.500 0.000 0.500
Pd 0.563 0.717 0.500
Pd 0.717 0.437 0.500
Pd 0.783 0.937 0.500
Pd 0.937 0.217 0.500

***

(2)
Material: HfCuPdPb
Method: DFT, PBE
State: relaxed

Output
SG: F-43m (216)
Formation energy from the elements (kJ/mol of atoms): -17.5
DOS at the Fermi energy (states/eV/f.u.): 2.30

abc: 4.704 4.704 4.704
angles: 60.00 60.00 60.00
Element x y z (fractional)
Hf 0.000 0.000 0.000
Cu 0.250 0.250 0.250
Pd 0.750 0.750 0.750
Pb 0.500 0.500 0.500

***

(3)
Material: Rb2CaLaS
Method: DFT, PBE
State: relaxed

Output
Formation energy (no corrections) (eV per atom): -0.027
SG: P4/mmm (123)
DOS at the Fermi energy (states/eV/f.u.): 5.21

abc: 8.198 8.198 5.259
angles: 90.00 90.00 90.00
Element x y z (fractional)
Rb 0.000 0.500 0.000
Rb 0.500 0.000 0.000
Ca 0.000 0.000 0.500
La 0.500 0.500 0.000
S 0.500 0.500 0.500

***

(4)
Material: Pr5AgTe8
Method: DFT, PBE
State: relaxed

Output
Formation energy (no corrections) (eV per atom): -1.289
SG: I-4 (82)

abc: 8.302 8.302 8.302
angles: 110.18 110.18 108.06
Element x y z (fractional)
Pr 0.000 0.000 0.000
Pr 0.255 0.135 0.627
Pr 0.372 0.745 0.879
Pr 0.508 0.628 0.373
Pr 0.865 0.492 0.121
Ag 0.750 0.250 0.500
Te 0.107 0.363 0.885
Te 0.142 0.384 0.399
Te 0.257 0.858 0.243
Te 0.478 0.222 0.115
Te 0.616 0.015 0.757
Te 0.637 0.522 0.744
Te 0.778 0.893 0.256
Te 0.985 0.743 0.601

***

(5)
Material: Dy6Tm8Zr
Method: DFT, PBE
State: relaxed

Output
SG: R-3 (148)
Formation energy from the elements (kJ/mol of atoms): 20.5
DOS at the Fermi energy (states/eV/f.u.): 18.36

abc: 7.995 7.995 7.995
angles: 73.25 73.25 73.25
Element x y z (fractional)
Dy 0.069 0.618 0.283
Dy 0.283 0.069 0.618
Dy 0.382 0.717 0.931
Dy 0.618 0.283 0.069
Dy 0.717 0.931 0.382
Dy 0.931 0.382 0.717
Tm 0.072 0.768 0.657
Tm 0.232 0.343 0.928
Tm 0.343 0.928 0.232
Tm 0.413 0.413 0.413
Tm 0.587 0.587 0.587
Tm 0.657 0.072 0.768
Tm 0.768 0.657 0.072
Tm 0.928 0.232 0.343
Zr 0.000 0.000 0.000

***

(6)
Material: CaTl2Mo
Method: DFT, PBE
State: relaxed

Output
SG: Fm-3m (225)
Formation energy from the elements (kJ/mol of atoms): 38.9
DOS at the Fermi energy (states/eV/f.u.): 2.63

abc: 5.142 5.142 5.142
angles: 60.00 60.00 60.00
Element x y z (fractional)
Ca 0.000 0.000 0.000
Tl 0.250 0.250 0.250
Tl 0.750 0.750 0.750
Mo 0.500 0.500 0.500

***

Going through the records in order, we get theoretical density values of 9.0; 12.5; 1.8; 6.9; 8.8; 9.4 g/cm3.